Here is a relaxed V4N crystal from the Alexandria database. Energies are from PBE-GGA.

Output
total magnetic moment = 0.000 μB per atom
space-group type = Pm-3m
formation energy (no corrections) = -0.466 eV/atom
density of states at the Fermi level = 1.33 states/eV/atom
VASP energy = -9.426 eV/atom

Unit cell a=3.9342 b=3.9342 c=3.9342 alpha=90.00 beta=90.00 gamma=90.00
Last column: nearest neighbours and their distance in Å.
Atoms (fractional coordinates):
V1 0.0000 0.0000 0.0000  12 V 2.78
V2 0.0000 0.5000 0.5000  2 N 1.97
V3 0.5000 0.0000 0.5000  2 N 1.97
V4 0.5000 0.5000 0.0000  2 N 1.97
N1 0.5000 0.5000 0.5000  6 V 1.97



Here is a relaxed AlRuCl3 crystal from the Alexandria database. Energies are from PBE-GGA.

Output
total magnetic moment = 0.579 μB per atom
space-group type = Pm-3m
formation energy (no corrections) = 0.183 eV/atom
density of states at the Fermi level = 0.76 states/eV/atom
VASP energy = -3.528 eV/atom

Unit cell a=4.8377 b=4.8377 c=4.8377 alpha=90.00 beta=90.00 gamma=90.00
Last column: nearest neighbours and their distance in Å.
Atoms (fractional coordinates):
Al1 0.0000 0.0000 0.0000  6 Cl 2.42
Ru1 0.5000 0.5000 0.5000  12 Cl 3.42
Cl1 0.0000 0.0000 0.5000  2 Al 2.42
Cl2 0.0000 0.5000 0.0000  2 Al 2.42
Cl3 0.5000 0.0000 0.0000  2 Al 2.42



Here is a relaxed La2W crystal from the Alexandria database. Energies are from PBE-GGA.

Output
total magnetic moment = 0.000 μB per atom
space-group type = P-62m
density of states at the Fermi level = 1.08 states/eV/atom
VASP energy = -6.993 eV/atom

Unit cell a=8.3005 b=8.3005 c=4.1372 alpha=90.00 beta=90.00 gamma=120.00
Last column: nearest neighbours and their distance in Å.
Atoms (fractional coordinates):
La1 0.0000 0.2828 0.0000  4 W 3.00-3.13
La2 0.0000 0.6151 0.5000  5 W 3.19-3.31, 6 La 3.45-3.54
La3 0.2828 0.0000 0.0000  4 W 3.00-3.13
La4 0.3849 0.3849 0.5000  5 W 3.19-3.31, 6 La 3.45-3.54
La5 0.6151 0.0000 0.5000  5 W 3.19-3.31, 6 La 3.45-3.54
La6 0.7172 0.7172 0.0000  4 W 3.00-3.13
W1 0.0000 0.0000 0.5000  9 La 3.13-3.19
W2 0.3333 0.6667 0.0000  9 La 3.00-3.31
W3 0.6667 0.3333 0.0000  9 La 3.00-3.31



Here is a relaxed CaClF3 crystal from the Alexandria database. Energies are from PBE-GGA.

Output
total magnetic moment = 0.000 μB per atom
space-group type = Pm-3m
formation energy (no corrections) = -1.398 eV/atom
density of states at the Fermi level = 0.38 states/eV/atom
VASP energy = -3.290 eV/atom

Unit cell a=4.4959 b=4.4959 c=4.4959 alpha=90.00 beta=90.00 gamma=90.00
Last column: nearest neighbours and their distance in Å.
Atoms (fractional coordinates):
Ca1 0.0000 0.0000 0.0000  12 F 3.18
Cl1 0.5000 0.5000 0.5000  6 F 2.25
F1 0.0000 0.5000 0.5000  2 Cl 2.25
F2 0.5000 0.0000 0.5000  2 Cl 2.25
F3 0.5000 0.5000 0.0000  2 Cl 2.25



Here is a relaxed La2PrTe4 crystal from the Alexandria database. Energies are from PBE-GGA.

Output
total magnetic moment = 0.000 μB per atom
space-group type = Cmcm
formation energy (no corrections) = -1.505 eV/atom
density of states at the Fermi level = 0.36 states/eV/atom
VASP energy = -5.391 eV/atom

Unit cell a=7.9005 b=7.9005 c=15.4278 alpha=90.00 beta=90.00 gamma=147.54
Last column: nearest neighbours and their distance in Å.
Atoms (fractional coordinates):
La1 0.1316 0.8684 0.5707  6 Te 3.17-3.30
La2 0.1316 0.8684 0.9293  6 Te 3.17-3.30
La3 0.8684 0.1316 0.0707  6 Te 3.17-3.30
La4 0.8684 0.1316 0.4293  6 Te 3.17-3.30
Pr1 0.3734 0.6266 0.7500  6 Te 3.22-3.27
Pr2 0.6266 0.3734 0.2500  6 Te 3.22-3.27
Te1 0.0275 0.9725 0.7500  2 La 3.19, 2 Pr 3.22
Te2 0.2216 0.7784 0.1242  3 La 3.24-3.30, 2 Pr 3.27
Te3 0.2216 0.7784 0.3758  3 La 3.24-3.30, 2 Pr 3.27
Te4 0.5000 0.5000 0.0000  4 La 3.17
Te5 0.5000 0.5000 0.5000  4 La 3.17
Te6 0.7784 0.2216 0.6242  3 La 3.24-3.30, 2 Pr 3.27
Te7 0.7784 0.2216 0.8758  3 La 3.24-3.30, 2 Pr 3.27
Te8 0.9725 0.0275 0.2500  2 La 3.19, 2 Pr 3.22



Here is a relaxed NaSn2P3O12 crystal from the Alexandria database. Energies are from PBE-GGA.

Output
total magnetic moment = 0.000 μB per atom
space-group type = R-3c
formation energy (no corrections) = -2.064 eV/atom
density of states at the Fermi level = 0.00 states/eV/atom
VASP energy = -6.789 eV/atom

Unit cell a=9.0655 b=9.0655 c=9.0655 alpha=57.72 beta=57.72 gamma=57.72
Last column: nearest neighbours and their distance in Å.
Atoms (fractional coordinates):
Na1 0.0000 0.0000 0.0000  6 O 2.49
Na2 0.5000 0.5000 0.5000  6 O 2.49
Sn1 0.1459 0.1459 0.1459  6 O 2.04-2.07
Sn2 0.3541 0.3541 0.3541  6 O 2.04-2.07
Sn3 0.6459 0.6459 0.6459  6 O 2.04-2.07
Sn4 0.8541 0.8541 0.8541  6 O 2.04-2.07
P1 0.0425 0.7500 0.4575  4 O 1.54-1.55
P2 0.2500 0.5425 0.9575  4 O 1.54-1.55
P3 0.4575 0.0425 0.7500  4 O 1.54-1.55
P4 0.5425 0.9575 0.2500  4 O 1.54-1.55
P5 0.7500 0.4575 0.0425  4 O 1.54-1.55
P6 0.9575 0.2500 0.5425  4 O 1.54-1.55
O1 0.0144 0.7857 0.6202  1 P 1.54
O2 0.0636 0.9194 0.2747  1 P 1.55
O3 0.0806 0.7253 0.9364  1 P 1.55
O4 0.1202 0.2857 0.5144  1 P 1.54
O5 0.2143 0.3798 0.9856  1 P 1.54
O6 0.2253 0.5806 0.4364  1 P 1.55
O7 0.2747 0.0636 0.9194  1 P 1.55
O8 0.2857 0.5144 0.1202  1 P 1.54
O9 0.3798 0.9856 0.2143  1 P 1.54
O10 0.4194 0.5636 0.7747  1 P 1.55
O11 0.4364 0.2253 0.5806  1 P 1.55
O12 0.4856 0.8798 0.7143  1 P 1.54
O13 0.5144 0.1202 0.2857  1 P 1.54
O14 0.5636 0.7747 0.4194  1 P 1.55
O15 0.5806 0.4364 0.2253  1 P 1.55
O16 0.6202 0.0144 0.7857  1 P 1.54
O17 0.7143 0.4856 0.8798  1 P 1.54
O18 0.7253 0.9364 0.0806  1 P 1.55
O19 0.7747 0.4194 0.5636  1 P 1.55
O20 0.7857 0.6202 0.0144  1 P 1.54
O21 0.8798 0.7143 0.4856  1 P 1.54
O22 0.9194 0.2747 0.0636  1 P 1.55
O23 0.9364 0.0806 0.7253  1 P 1.55
O24 0.9856 0.2143 0.3798  1 P 1.54



Here is a relaxed MgCo2Ge4 crystal from the Alexandria database. Energies are from PBE-GGA.

Output
total magnetic moment = 0.213 μB per atom
space-group type = I4/mmm
density of states at the Fermi level = 0.81 states/eV/atom
VASP energy = -4.191 eV/atom

Unit cell a=6.8813 b=6.8813 c=6.8813 alpha=138.85 beta=138.85 gamma=59.61
Last column: nearest neighbours and their distance in Å.
Atoms (fractional coordinates):
Mg1 0.0000 0.0000 0.0000  6 Ge 2.42-2.61
Co1 0.4052 0.4052 0.0000  1 Ge 2.23, 1 Co 2.26
Co2 0.5948 0.5948 0.0000  1 Ge 2.23, 1 Co 2.26
Ge1 0.0000 0.5000 0.5000  2 Mg 2.42, 4 Co 2.67
Ge2 0.2183 0.2183 0.0000  1 Co 2.23
Ge3 0.5000 0.0000 0.5000  2 Mg 2.42, 4 Co 2.67
Ge4 0.7817 0.7817 0.0000  1 Co 2.23